Record 1
This record from the Alexandria database describes a geometry-optimized YCoSn structure. The functional is PBE.

Properties
Its formation enthalpy at 0 K is -247 meV per atom. The total energy comes out at -6.10 eV per atom. The space group is No. 107.

Cell: 6.045 6.045 6.045 Å, 148.39 148.39 45.31°
Element x y z (fractional)
Y 0.000 0.000 0.000
Co 0.337 0.337 0.000
Sn 0.713 0.713 0.000

=====

Record 2
This record from the Alexandria database describes a geometry-optimized ScNiN2 structure. The functional is PBE.

Properties
For the relative energy among the computed polymorphs, the calculation gives 0.000 eV/atom. The total energy comes out at -7.61 eV per atom. The space group is No. 122. The formation energy from raw total energies is -0.424 eV/atom.

Cell: 5.780 5.780 5.780 Å, 134.48 134.48 66.34°
Element x y z (fractional)
Sc 0.000 0.000 0.000
Sc 0.750 0.250 0.500
Ni 0.250 0.750 0.500
Ni 0.500 0.500 0.000
N 0.168 0.625 0.043
N 0.375 0.418 0.543
N 0.582 0.125 0.957
N 0.875 0.832 0.457

=====

Record 3
This record from the Alexandria database describes a geometry-optimized Ca3ScBe structure. The functional is PBE.

Properties
Its formation enthalpy at 0 K is 492 meV per atom. For the relative energy among the computed polymorphs, the calculation gives 0.000 eV/atom. The total energy comes out at -2.72 eV per atom. The space group is No. 221.

Cell: 5.544 5.544 5.544 Å, 90.00 90.00 90.00°
Element x y z (fractional)
Ca 0.000 0.000 0.500
Ca 0.000 0.500 0.000
Ca 0.500 0.000 0.000
Sc 0.500 0.500 0.500
Be 0.000 0.000 0.000

=====

Record 4
This record from the Alexandria database describes a geometry-optimized DyGaCu structure. The functional is PBE.

Properties
Its formation enthalpy at 0 K is -475 meV per atom. The total energy comes out at -4.38 eV per atom. The space group is No. 129.

Cell: 4.255 4.255 6.521 Å, 90.00 90.00 90.00°
Element x y z (fractional)
Dy 0.250 0.250 0.185
Dy 0.750 0.750 0.815
Ga 0.250 0.250 0.714
Ga 0.750 0.750 0.286
Cu 0.250 0.750 0.500
Cu 0.750 0.250 0.500